Here is a relaxed CrCuN2O crystal from Alexandria via LeMat-Bulk. Energies are from PBE with a Hubbard U.

Unit cell a=3.684 b=3.684 c=3.843 alpha=90.00 beta=90.00 gamma=90.00
Fractional positions:
Cr  0.000  0.000  0.000
Cu  0.500  0.500  0.500
N  0.000  0.500  0.500
N  0.500  0.000  0.500
O  0.500  0.500  0.000

Computed properties:
The total magnetization comes out at 0.497 μB per atom. Its density of states at the Fermi level is 0.686 states/eV per atom. As for the space group: P4/mmm. The value obtained for the total energy is -5.139 eV/atom.